18
Lattice="-7.914 1.473 0.517 -5.053 -5.735 2.579 -3.563 0.647 7.208" Properties=species:S:1:pos:R:3 comment="PBE with a Hubbard U Cs2TlMo3F12, optimized geometry" crystal_system=trigonal sg="R-3m (166)" dft_energy_ev_per_atom=-5.247 volume_a3_per_cell=368.2 pbc="T T T"
F -9.660 -2.983 2.977
F -9.526 -0.127 3.242
Mo -1.782 0.324 3.604
F -6.870 -0.631 7.327
F -7.004 -3.487 7.062
Tl 0.000 0.000 0.000
F -12.266 -0.603 7.902
Mo -2.526 -2.867 1.289
F -10.981 -3.840 8.828
Mo -3.957 0.736 0.258
F -7.779 -4.528 4.500
F -5.549 0.225 1.475
Cs -10.321 -2.257 6.433
F -3.594 -0.145 4.480
Cs -6.209 -1.358 3.870
F -12.936 -3.469 5.823
F -8.751 0.913 5.803
F -4.264 -3.012 2.401